# Bi2SbPb | the Alexandria database | PBE | relaxed
data_Bi2SbPb
_cell_length_a 7.898
_cell_length_b 7.898
_cell_length_c 7.898
_cell_angle_alpha 90.00
_cell_angle_beta 90.00
_cell_angle_gamma 90.00
_symmetry_space_group_name_H-M 'F m -3 m'
_symmetry_Int_Tables_number 225
_symmetry_space_group_name_Hall '-F 4 2 3'
loop_
_atom_site_label
_atom_site_fract_x
_atom_site_fract_y
_atom_site_fract_z
_atom_site_occupancy
Bi1 0.250 0.250 0.250 1
Sb1 0.000 0.000 0.000 1
Pb1 0.000 0.000 0.500 1
# - DFT total energy (eV/atom) = -3.757
# - DOS at the Fermi energy (states/eV per atom) = 0.651
# - uncorrected formation energy (eV per atom) = 0.14